Zn2BiPd | PBE | relaxed

Geometry as CIF:
```
data_Zn2BiPd
_chemical_formula_sum 'Zn2 Bi1 Pd1'
_cell_length_a 3.278
_cell_length_b 3.278
_cell_length_c 7.233
_cell_angle_alpha 90.00
_cell_angle_beta 90.00
_cell_angle_gamma 90.00
_space_group_name_H-M_alt 'P 4/m m m'
_space_group_IT_number 123
_space_group_name_Hall '-P 4 2'
loop_
_atom_site_label
_atom_site_type_symbol
_atom_site_fract_x
_atom_site_fract_y
_atom_site_fract_z
Zn1 Zn 0.000 0.000 0.183
Bi1 Bi 0.500 0.500 0.500
Pd1 Pd 0.500 0.500 0.000
```

Values from the calculation:
Formation energy (eV per atom): -0.1150

=====

RbRe2BW | PBE | relaxed

Geometry as CIF:
```
data_RbRe2BW
_chemical_formula_sum 'Rb1 Re2 B1 W1'
_cell_length_a 4.343
_cell_length_b 4.343
_cell_length_c 4.464
_cell_angle_alpha 90.00
_cell_angle_beta 90.00
_cell_angle_gamma 90.00
_space_group_name_H-M_alt 'P 4/m m m'
_space_group_IT_number 123
_space_group_name_Hall '-P 4 2'
loop_
_atom_site_label
_atom_site_type_symbol
_atom_site_fract_x
_atom_site_fract_y
_atom_site_fract_z
Rb1 Rb 0.000 0.000 0.000
Re1 Re 0.000 0.500 0.500
B1 B 0.500 0.500 0.500
W1 W 0.500 0.500 0.000
```

Values from the calculation:
Formation energy (eV per atom): 1.6352

=====

Cs8K5Rb | PBE | relaxed

Geometry as CIF:
```
data_Cs8K5Rb
_chemical_formula_sum 'Cs16 K10 Rb2'
_cell_length_a 13.884
_cell_length_b 13.884
_cell_length_c 14.678
_cell_angle_alpha 90.00
_cell_angle_beta 90.00
_cell_angle_gamma 90.00
_space_group_name_H-M_alt 'I -4'
_space_group_IT_number 82
loop_
_space_group_symop_operation_xyz
'x,y,z'
'y,-x,-z'
'-x,-y,z'
'-y,x,-z'
'x+1/2,y+1/2,z+1/2'
'y+1/2,-x+1/2,-z+1/2'
'-x+1/2,-y+1/2,z+1/2'
'-y+1/2,x+1/2,-z+1/2'
loop_
_atom_site_label
_atom_site_type_symbol
_atom_site_fract_x
_atom_site_fract_y
_atom_site_fract_z
Cs1 Cs 0.066 0.173 0.336
Cs2 Cs 0.090 0.319 0.994
K1 K 0.000 0.500 0.250
K2 K 0.110 0.297 0.673
Rb1 Rb 0.000 0.000 0.000
```

Values from the calculation:
Formation energy (eV per atom): 0.0411

=====

Ba3MgCr | PBE | relaxed

Geometry as CIF:
```
data_Ba3MgCr
_chemical_formula_sum 'Ba3 Mg1 Cr1'
_cell_length_a 5.945
_cell_length_b 5.945
_cell_length_c 5.945
_cell_angle_alpha 90.00
_cell_angle_beta 90.00
_cell_angle_gamma 90.00
_space_group_name_H-M_alt 'P m -3 m'
_space_group_IT_number 221
_space_group_name_Hall '-P 4 2 3'
loop_
_atom_site_label
_atom_site_type_symbol
_atom_site_fract_x
_atom_site_fract_y
_atom_site_fract_z
Ba1 Ba 0.000 0.000 0.500
Mg1 Mg 0.500 0.500 0.500
Cr1 Cr 0.000 0.000 0.000
```

Values from the calculation:
Formation energy (eV per atom): 0.7278

=====

LiPb2Au6 | PBE | relaxed

Geometry as CIF:
```
data_LiPb2Au6
_chemical_formula_sum 'Li1 Pb2 Au6'
_cell_length_a 5.594
_cell_length_b 5.661
_cell_length_c 7.445
_cell_angle_alpha 91.50
_cell_angle_beta 111.87
_cell_angle_gamma 118.02
_space_group_name_H-M_alt 'P -1'
_space_group_IT_number 2
loop_
_space_group_symop_operation_xyz
'x,y,z'
'-x,-y,-z'
loop_
_atom_site_label
_atom_site_type_symbol
_atom_site_fract_x
_atom_site_fract_y
_atom_site_fract_z
Li1 Li 0.000 0.000 0.000
Pb1 Pb 0.425 0.728 0.125
Au1 Au 0.052 0.328 0.296
Au2 Au 0.074 0.845 0.367
Au3 Au 0.455 0.705 0.688
```

Values from the calculation:
Formation energy (eV per atom): -0.1474

=====

SmGdZnCd | PBE | relaxed

Geometry as CIF:
```
data_SmGdZnCd
_chemical_formula_sum 'Sm4 Gd4 Zn4 Cd4'
_cell_length_a 7.429
_cell_length_b 7.429
_cell_length_c 7.429
_cell_angle_alpha 90.00
_cell_angle_beta 90.00
_cell_angle_gamma 90.00
_space_group_name_H-M_alt 'F -4 3 m'
_space_group_IT_number 216
_space_group_name_Hall 'F -4 2 3'
loop_
_atom_site_label
_atom_site_type_symbol
_atom_site_fract_x
_atom_site_fract_y
_atom_site_fract_z
Sm1 Sm 0.000 0.000 0.000
Gd1 Gd 0.000 0.000 0.500
Zn1 Zn 0.250 0.250 0.750
Cd1 Cd 0.250 0.250 0.250
```

Values from the calculation:
Formation energy (eV per atom): -0.3214